1.
# InSn2Pd2 PBE-GGA relaxed
# Total DFT energy (no corrections) in eV/cell: -45.33
# E_form in eV/atom: -0.307
data_InSn2Pd2
_chemical_formula_sum 'In2 Sn4 Pd4'
_cell_length_a 8.058
_cell_length_b 8.058
_cell_length_c 3.220
_cell_angle_alpha 90.00
_cell_angle_beta 90.00
_cell_angle_gamma 90.00
_space_group_name_H-M_alt 'P 4/m b m'
_space_group_IT_number 127
_space_group_name_Hall '-P 4 2ab'
loop_
_atom_site_label
_atom_site_type_symbol
_atom_site_fract_x
_atom_site_fract_y
_atom_site_fract_z
_atom_site_occupancy
In1 In 0.000 0.000 0.000 1
Sn1 Sn 0.162 0.338 0.500 1
Pd1 Pd 0.131 0.631 0.000 1


2.
# CSeF PBE-GGA relaxed
# Total DFT energy (no corrections) in eV/cell: -29.98
# E above lowest polymorph in meV/atom: 191
# Formation energy without anion corrections in eV/f.u.: -0.4
data_CSeF
_chemical_formula_sum 'C2 Se2 F2'
_cell_length_a 4.207
_cell_length_b 5.650
_cell_length_c 5.751
_cell_angle_alpha 99.07
_cell_angle_beta 111.30
_cell_angle_gamma 90.03
_space_group_name_H-M_alt 'P 1'
_space_group_IT_number 1
_space_group_name_Hall 'P 1'
loop_
_atom_site_label
_atom_site_type_symbol
_atom_site_fract_x
_atom_site_fract_y
_atom_site_fract_z
_atom_site_occupancy
C1 C 0.000 0.000 0.000 1
C2 C 0.313 0.000 0.000 1
Se1 Se 0.265 0.287 0.217 1
Se2 Se 0.630 0.783 0.947 1
F1 F 0.122 0.481 0.932 1
F2 F 0.413 0.147 0.512 1


3.
# VTe4Au PBE-GGA relaxed
# Total DFT energy (no corrections) in eV/cell: -51.53
# E above lowest polymorph in meV/atom: 19
# Formation energy without anion corrections in eV/f.u.: -0.8
data_VTe4Au
_chemical_formula_sum 'V2 Te8 Au2'
_cell_length_a 13.412
_cell_length_b 3.919
_cell_length_c 7.493
_cell_angle_alpha 90.00
_cell_angle_beta 123.02
_cell_angle_gamma 90.00
_space_group_name_H-M_alt 'C 1 2/m 1'
_space_group_IT_number 12
_space_group_name_Hall '-C 2y'
loop_
_atom_site_label
_atom_site_type_symbol
_atom_site_fract_x
_atom_site_fract_y
_atom_site_fract_z
_atom_site_occupancy
V1 V 0.000 0.000 0.000 1
Te1 Te 0.120 0.500 0.305 1
Te2 Te 0.152 0.000 0.861 1
Au1 Au 0.000 0.500 0.500 1


4.
# Nd4Er5Mg PBE-GGA relaxed
# Total DFT energy (no corrections) in eV/cell: -83.44
# E_form in eV/atom: 0.176
# E above lowest polymorph in meV/atom: 172
data_Nd4Er5Mg
_chemical_formula_sum 'Nd8 Er10 Mg2'
_cell_length_a 10.736
_cell_length_b 10.736
_cell_length_c 5.743
_cell_angle_alpha 90.00
_cell_angle_beta 90.00
_cell_angle_gamma 90.00
_space_group_name_H-M_alt 'I 4 m m'
_space_group_IT_number 107
_space_group_name_Hall 'I 4 -2'
loop_
_atom_site_label
_atom_site_type_symbol
_atom_site_fract_x
_atom_site_fract_y
_atom_site_fract_z
_atom_site_occupancy
Nd1 Nd 0.000 0.317 0.000 1
Er1 Er 0.000 0.000 0.203 1
Er2 Er 0.185 0.185 0.489 1
Mg1 Mg 0.000 0.000 0.720 1